[1]
VASP calculation (GGA-PBE) on a relaxed PmDyCo2 crystal.

```
data_PmDyCo2
_space_group_name_H-M_alt 'P 1'
_space_group_IT_number 1
_cell_length_a 3.899
_cell_length_b 4.035
_cell_length_c 10.488
_cell_angle_alpha 90.00
_cell_angle_beta 90.00
_cell_angle_gamma 90.00
loop_
_space_group_symop_operation_xyz
'x,y,z'
loop_
_atom_site_label
_atom_site_type_symbol
_atom_site_fract_x
_atom_site_fract_y
_atom_site_fract_z
Pm1 Pm 0.000 0.000 0.000
Pm2 Pm 0.000 0.500 0.500
Dy1 Dy 0.500 0.000 0.287
Dy2 Dy 0.500 0.500 0.787
Co1 Co 0.000 0.000 0.708
Co2 Co 0.000 0.500 0.208
Co3 Co 0.500 0.000 0.593
Co4 Co 0.500 0.500 0.093
```

Results
* DOS(E_F): 3.968 states/eV/f.u.
* energy of formation from the pure elements: -0.15 eV per atom
* raw total energy: -6.0389 eV per atom

=====

[2]
VASP calculation (GGA-PBE) on a relaxed PmDyCo2 crystal.

```
data_PmDyCo2
_space_group_name_H-M_alt 'P 1'
_space_group_IT_number 1
_cell_length_a 6.776
_cell_length_b 6.776
_cell_length_c 6.776
_cell_angle_alpha 90.00
_cell_angle_beta 90.00
_cell_angle_gamma 90.00
loop_
_space_group_symop_operation_xyz
'x,y,z'
loop_
_atom_site_label
_atom_site_type_symbol
_atom_site_fract_x
_atom_site_fract_y
_atom_site_fract_z
Pm1 Pm 0.000 0.000 0.000
Pm2 Pm 0.000 0.500 0.500
Pm3 Pm 0.500 0.000 0.500
Pm4 Pm 0.500 0.500 0.000
Dy1 Dy 0.000 0.000 0.500
Dy2 Dy 0.000 0.500 0.000
Dy3 Dy 0.500 0.000 0.000
Dy4 Dy 0.500 0.500 0.500
Co1 Co 0.250 0.250 0.250
Co2 Co 0.250 0.250 0.750
Co3 Co 0.250 0.750 0.250
Co4 Co 0.250 0.750 0.750
Co5 Co 0.750 0.250 0.250
Co6 Co 0.750 0.250 0.750
Co7 Co 0.750 0.750 0.250
Co8 Co 0.750 0.750 0.750
```

Results
* DOS(E_F): 0.998 states/eV/f.u.
* energy of formation from the pure elements: -0.06 eV per atom
* raw total energy: -5.9504 eV per atom

=====

[3]
VASP calculation (GGA-PBE) on a relaxed PmDy2Co2 crystal.

```
data_PmDy2Co2
_space_group_name_H-M_alt 'P 1'
_space_group_IT_number 1
_cell_length_a 3.907
_cell_length_b 14.676
_cell_length_c 4.007
_cell_angle_alpha 90.00
_cell_angle_beta 90.00
_cell_angle_gamma 90.00
loop_
_space_group_symop_operation_xyz
'x,y,z'
loop_
_atom_site_label
_atom_site_type_symbol
_atom_site_fract_x
_atom_site_fract_y
_atom_site_fract_z
Pm1 Pm 0.000 0.000 0.000
Pm2 Pm 0.500 0.500 0.000
Dy1 Dy 0.000 0.349 0.500
Dy2 Dy 0.000 0.651 0.500
Dy3 Dy 0.500 0.151 0.500
Dy4 Dy 0.500 0.849 0.500
Co1 Co 0.000 0.208 0.000
Co2 Co 0.000 0.792 0.000
Co3 Co 0.500 0.292 0.000
Co4 Co 0.500 0.708 0.000
```

Results
* DOS(E_F): 6.926 states/eV/f.u.
* energy of formation from the pure elements: -0.13 eV per atom
* raw total energy: -5.7588 eV per atom

=====

[4]
VASP calculation (GGA-PBE) on a relaxed PmDyCoSn crystal.

```
data_PmDyCoSn
_space_group_name_H-M_alt 'P 1'
_space_group_IT_number 1
_cell_length_a 7.290
_cell_length_b 7.290
_cell_length_c 7.290
_cell_angle_alpha 90.00
_cell_angle_beta 90.00
_cell_angle_gamma 90.00
loop_
_space_group_symop_operation_xyz
'x,y,z'
loop_
_atom_site_label
_atom_site_type_symbol
_atom_site_fract_x
_atom_site_fract_y
_atom_site_fract_z
Pm1 Pm 0.000 0.000 0.000
Pm2 Pm 0.000 0.500 0.500
Pm3 Pm 0.500 0.000 0.500
Pm4 Pm 0.500 0.500 0.000
Dy1 Dy 0.000 0.000 0.500
Dy2 Dy 0.000 0.500 0.000
Dy3 Dy 0.500 0.000 0.000
Dy4 Dy 0.500 0.500 0.500
Co1 Co 0.250 0.250 0.750
Co2 Co 0.250 0.750 0.250
Co3 Co 0.750 0.250 0.250
Co4 Co 0.750 0.750 0.750
Sn1 Sn 0.250 0.250 0.250
Sn2 Sn 0.250 0.750 0.750
Sn3 Sn 0.750 0.250 0.750
Sn4 Sn 0.750 0.750 0.250
```

Results
* DOS(E_F): 2.662 states/eV/f.u.
* energy of formation from the pure elements: -0.28 eV per atom
* raw total energy: -5.3925 eV per atom

=====

[5]
VASP calculation (GGA-PBE) on a relaxed PmDyTlCo crystal.

```
data_PmDyTlCo
_space_group_name_H-M_alt 'P 1'
_space_group_IT_number 1
_cell_length_a 7.323
_cell_length_b 7.323
_cell_length_c 7.323
_cell_angle_alpha 90.00
_cell_angle_beta 90.00
_cell_angle_gamma 90.00
loop_
_space_group_symop_operation_xyz
'x,y,z'
loop_
_atom_site_label
_atom_site_type_symbol
_atom_site_fract_x
_atom_site_fract_y
_atom_site_fract_z
Pm1 Pm 0.000 0.000 0.000
Pm2 Pm 0.000 0.500 0.500
Pm3 Pm 0.500 0.000 0.500
Pm4 Pm 0.500 0.500 0.000
Dy1 Dy 0.000 0.000 0.500
Dy2 Dy 0.000 0.500 0.000
Dy3 Dy 0.500 0.000 0.000
Dy4 Dy 0.500 0.500 0.500
Tl1 Tl 0.250 0.250 0.750
Tl2 Tl 0.250 0.750 0.250
Tl3 Tl 0.750 0.250 0.250
Tl4 Tl 0.750 0.750 0.750
Co1 Co 0.250 0.250 0.250
Co2 Co 0.250 0.750 0.750
Co3 Co 0.750 0.250 0.750
Co4 Co 0.750 0.750 0.250
```

Results
* DOS(E_F): 2.352 states/eV/f.u.
* energy of formation from the pure elements: -0.09 eV per atom
* raw total energy: -4.7953 eV per atom

=====

[6]
VASP calculation (GGA-PBE) on a relaxed PmDyZnCo crystal.

```
data_PmDyZnCo
_space_group_name_H-M_alt 'P 1'
_space_group_IT_number 1
_cell_length_a 4.297
_cell_length_b 3.918
_cell_length_c 10.624
_cell_angle_alpha 90.00
_cell_angle_beta 90.00
_cell_angle_gamma 90.00
loop_
_space_group_symop_operation_xyz
'x,y,z'
loop_
_atom_site_label
_atom_site_type_symbol
_atom_site_fract_x
_atom_site_fract_y
_atom_site_fract_z
Pm1 Pm 0.000 0.000 0.000
Pm2 Pm 0.000 0.500 0.500
Dy1 Dy 0.500 0.000 0.718
Dy2 Dy 0.500 0.500 0.218
Zn1 Zn 0.500 0.000 0.421
Zn2 Zn 0.500 0.500 0.921
Co1 Co 0.000 0.000 0.293
Co2 Co 0.000 0.500 0.793
```

Results
* DOS(E_F): 3.617 states/eV/f.u.
* energy of formation from the pure elements: -0.19 eV per atom
* raw total energy: -4.6276 eV per atom

=====

[7]
VASP calculation (GGA-PBE) on a relaxed PmDyZnCo crystal.

```
data_PmDyZnCo
_space_group_name_H-M_alt 'P 1'
_space_group_IT_number 1
_cell_length_a 6.988
_cell_length_b 6.988
_cell_length_c 6.988
_cell_angle_alpha 90.00
_cell_angle_beta 90.00
_cell_angle_gamma 90.00
loop_
_space_group_symop_operation_xyz
'x,y,z'
loop_
_atom_site_label
_atom_site_type_symbol
_atom_site_fract_x
_atom_site_fract_y
_atom_site_fract_z
Pm1 Pm 0.000 0.000 0.000
Pm2 Pm 0.000 0.500 0.500
Pm3 Pm 0.500 0.000 0.500
Pm4 Pm 0.500 0.500 0.000
Dy1 Dy 0.000 0.000 0.500
Dy2 Dy 0.000 0.500 0.000
Dy3 Dy 0.500 0.000 0.000
Dy4 Dy 0.500 0.500 0.500
Zn1 Zn 0.250 0.250 0.750
Zn2 Zn 0.250 0.750 0.250
Zn3 Zn 0.750 0.250 0.250
Zn4 Zn 0.750 0.750 0.750
Co1 Co 0.250 0.250 0.250
Co2 Co 0.250 0.750 0.750
Co3 Co 0.750 0.250 0.750
Co4 Co 0.750 0.750 0.250
```

Results
* DOS(E_F): 2.600 states/eV/f.u.
* energy of formation from the pure elements: -0.18 eV per atom
* raw total energy: -4.6106 eV per atom

=====

[8]
VASP calculation (GGA-PBE) on a relaxed PrDyCo crystal.

```
data_PrDyCo
_space_group_name_H-M_alt 'P 1'
_space_group_IT_number 1
_cell_length_a 3.433
_cell_length_b 3.433
_cell_length_c 12.976
_cell_angle_alpha 90.00
_cell_angle_beta 90.00
_cell_angle_gamma 90.00
loop_
_space_group_symop_operation_xyz
'x,y,z'
loop_
_atom_site_label
_atom_site_type_symbol
_atom_site_fract_x
_atom_site_fract_y
_atom_site_fract_z
Pr1 Pr 0.000 0.000 0.000
Pr2 Pr 0.500 0.500 0.500
Dy1 Dy 0.000 0.000 0.255
Dy2 Dy 0.500 0.500 0.755
Co1 Co 0.000 0.000 0.637
Co2 Co 0.500 0.500 0.137
```

Results
* DOS(E_F): 2.723 states/eV/f.u.
* energy of formation from the pure elements: -0.02 eV per atom
* raw total energy: -5.5179 eV per atom

=====

[9]
VASP calculation (GGA-PBE) on a relaxed PrDy12Co6 crystal.

```
data_PrDy12Co6
_space_group_name_H-M_alt 'P 1'
_space_group_IT_number 1
_cell_length_a 8.471
_cell_length_b 8.471
_cell_length_c 8.471
_cell_angle_alpha 109.47
_cell_angle_beta 109.47
_cell_angle_gamma 109.47
loop_
_space_group_symop_operation_xyz
'x,y,z'
loop_
_atom_site_label
_atom_site_type_symbol
_atom_site_fract_x
_atom_site_fract_y
_atom_site_fract_z
Pr1 Pr 0.000 0.000 0.000
Dy1 Dy 0.116 0.310 0.806
Dy2 Dy 0.194 0.504 0.310
Dy3 Dy 0.194 0.884 0.690
Dy4 Dy 0.310 0.194 0.504
Dy5 Dy 0.310 0.806 0.116
Dy6 Dy 0.496 0.690 0.806
Dy7 Dy 0.504 0.310 0.194
Dy8 Dy 0.690 0.194 0.884
Dy9 Dy 0.690 0.806 0.496
Dy10 Dy 0.806 0.116 0.310
Dy11 Dy 0.806 0.496 0.690
Dy12 Dy 0.884 0.690 0.194
Co1 Co 0.113 0.500 0.613
Co2 Co 0.387 0.887 0.500
Co3 Co 0.500 0.387 0.887
Co4 Co 0.500 0.613 0.113
Co5 Co 0.613 0.113 0.500
Co6 Co 0.887 0.500 0.387
```

Results
* DOS(E_F): 15.485 states/eV/f.u.
* energy of formation from the pure elements: -0.13 eV per atom
* raw total energy: -5.5371 eV per atom

=====

[10]
VASP calculation (GGA-PBE) on a relaxed Pr2DyCo crystal.

```
data_Pr2DyCo
_space_group_name_H-M_alt 'P 1'
_space_group_IT_number 1
_cell_length_a 7.101
_cell_length_b 9.978
_cell_length_c 6.311
_cell_angle_alpha 90.00
_cell_angle_beta 90.00
_cell_angle_gamma 90.00
loop_
_space_group_symop_operation_xyz
'x,y,z'
loop_
_atom_site_label
_atom_site_type_symbol
_atom_site_fract_x
_atom_site_fract_y
_atom_site_fract_z
Pr1 Pr 0.175 0.071 0.176
Pr2 Pr 0.175 0.429 0.176
Pr3 Pr 0.325 0.571 0.676
Pr4 Pr 0.325 0.929 0.676
Pr5 Pr 0.675 0.071 0.324
Pr6 Pr 0.675 0.429 0.324
Pr7 Pr 0.825 0.571 0.824
Pr8 Pr 0.825 0.929 0.824
Dy1 Dy 0.045 0.250 0.658
Dy2 Dy 0.455 0.750 0.158
Dy3 Dy 0.545 0.250 0.842
Dy4 Dy 0.955 0.750 0.342
Co1 Co 0.118 0.750 0.952
Co2 Co 0.382 0.250 0.452
Co3 Co 0.618 0.750 0.548
Co4 Co 0.882 0.250 0.048
```

Results
* DOS(E_F): 5.112 states/eV/f.u.
* energy of formation from the pure elements: -0.07 eV per atom
* raw total energy: -5.3896 eV per atom